VASP calculation (PBE) on Be2AlIn after structural relaxation.

Summary:
- Symmetry: R-3m (166)

Unit cell a=8.0948 b=8.0948 c=8.0948 alpha=21.28 beta=21.28 gamma=21.28
Last column: nearest neighbours and their distance in Å.
Positions (direct):
In  0.2500  0.2500  0.2500  6 Be 2.71, 6 In 2.99
Be  0.4955  0.4955  0.4955  3 Al 2.54, 3 In 2.71
Al  0.7500  0.7500  0.7500  6 Be 2.54
Be  0.0045  0.0045  0.0045  3 Al 2.54, 3 In 2.71

VASP calculation (PBE) on Be3AlIn after structural relaxation.

Summary:
- Symmetry: Pm-3m (221)

Unit cell a=4.5552 b=4.5552 c=4.5552 alpha=90.00 beta=90.00 gamma=90.00
Last column: nearest neighbours and their distance in Å.
Positions (direct):
In  0.0000  0.0000  0.0000  6 Be 2.28
Al  0.5000  0.5000  0.5000  12 Be 3.22
Be  0.5000  0.0000  0.0000  2 In 2.28
Be  0.0000  0.0000  0.5000  2 In 2.28
Be  0.0000  0.5000  0.0000  2 In 2.28

VASP calculation (PBE) on BeAl2In after structural relaxation.

Summary:
- Symmetry: P4/mmm (123)

Unit cell a=2.9633 b=2.9637 c=7.7230 alpha=90.00 beta=90.00 gamma=90.00
Last column: nearest neighbours and their distance in Å.
Positions (direct):
In  0.5000  0.5000  0.7500  4 In 2.96, 8 Al 3.17
Al  0.0000  0.0000  0.0588  4 Be 2.56
Be  0.5000  0.5000  0.2500  8 Al 2.56
Al  0.0000  0.0000  0.4412  4 Be 2.56

VASP calculation (PBE) on Be2AlIn after structural relaxation.

Summary:
- Symmetry: Cm (8)

Unit cell a=3.9494 b=3.9494 c=5.7503 alpha=82.58 beta=82.58 gamma=45.53
Last column: nearest neighbours and their distance in Å.
Positions (direct):
In  0.4792  0.4792  0.5508  5 Be 2.67-2.82, 1 Al 2.82
Be  0.0126  0.0126  0.9240  3 Be 2.16-2.18
Be  0.7277  0.7277  0.8609  3 Be 2.16-2.18, 2 Al 2.39
Al  0.2805  0.2805  0.1643  5 Be 2.39-2.54

VASP calculation (PBE) on BeAl2In after structural relaxation.

Summary:
- Symmetry: Cmmm (65)

Unit cell a=4.8743 b=4.8743 c=3.1689 alpha=90.00 beta=90.00 gamma=111.89
Last column: nearest neighbours and their distance in Å.
Positions (direct):
Be  0.5000  0.0000  0.5000  2 In 2.73, 8 Al 2.91
Al  0.5000  0.5000  0.0000  2 Al 2.73, 4 Be 2.91, 4 In 2.91
In  0.0000  0.5000  0.5000  2 Be 2.73, 8 Al 2.91
Al  0.0000  0.0000  0.0000  2 Al 2.73, 4 In 2.91, 4 Be 2.91

VASP calculation (PBE) on BeAl2In after structural relaxation.

Summary:
- Symmetry: Imm2 (44)

Unit cell a=4.9249 b=4.9249 c=4.9249 alpha=132.46 beta=126.65 gamma=74.21
Last column: nearest neighbours and their distance in Å.
Positions (direct):
Be  0.5104  0.5104  0.0000  2 Al 2.65, 4 In 2.80-2.95
Al  0.7348  0.2348  0.5000  2 Be 2.65, 4 Al 2.85-2.90
Al  0.9952  0.9952  0.0000  4 Al 2.85-2.90, 4 In 2.87-2.88, 4 Be 2.97
In  0.2596  0.7596  0.5000  4 Be 2.80-2.95, 8 Al 2.87-2.98

VASP calculation (PBE) on BeAl2In after structural relaxation.

Summary:
- Symmetry: F-43m (216)

Unit cell a=4.6315 b=4.6315 c=4.6315 alpha=60.00 beta=60.00 gamma=60.00
Last column: nearest neighbours and their distance in Å.
Positions (direct):
Al  0.2500  0.2500  0.2500  4 Al 2.84, 4 Be 2.84
Al  0.0000  0.0000  0.0000  4 In 2.84, 4 Al 2.84
Be  0.5000  0.5000  0.5000  4 Al 2.84, 4 In 2.84
In  0.7500  0.7500  0.7500  4 Be 2.84, 4 Al 2.84

VASP calculation (PBE) on Be3AlIn after structural relaxation.

Summary:
- Symmetry: Pm-3m (221)

Unit cell a=4.4522 b=4.4522 c=4.4522 alpha=90.00 beta=90.00 gamma=90.00
Last column: nearest neighbours and their distance in Å.
Positions (direct):
Al  0.0000  0.0000  0.0000  6 Be 2.23
In  0.5000  0.5000  0.5000  12 Be 3.15
Be  0.5000  0.0000  0.0000  2 Al 2.23
Be  0.0000  0.0000  0.5000  2 Al 2.23
Be  0.0000  0.5000  0.0000  2 Al 2.23

VASP calculation (PBE) on BeAl2In after structural relaxation.

Summary:
- Symmetry: R-3m (166)

Unit cell a=9.1948 b=9.1948 c=9.1948 alpha=18.58 beta=18.58 gamma=18.58
Last column: nearest neighbours and their distance in Å.
Positions (direct):
In  0.7500  0.7500  0.7500  6 In 2.97, 6 Al 3.14
Al  0.9864  0.9864  0.9864  3 Be 2.55
Al  0.5135  0.5135  0.5135  3 Be 2.55
Be  0.2500  0.2500  0.2500  6 Al 2.55

VASP calculation (PBE) on Be2AlIn after structural relaxation.

Summary:
- Symmetry: Cmmm (65)

Unit cell a=4.7214 b=4.7214 c=2.8048 alpha=90.00 beta=90.00 gamma=107.37
Last column: nearest neighbours and their distance in Å.
Positions (direct):
Be  0.0000  0.0000  0.0000  4 Al 2.75, 4 In 2.75, 4 Be 2.80
Be  0.5000  0.5000  0.0000  4 In 2.75, 4 Al 2.75, 4 Be 2.80
Al  0.0000  0.5000  0.5000  8 Be 2.75, 2 In 2.80, 2 Al 2.80
In  0.5000  0.0000  0.5000  8 Be 2.75, 2 Al 2.80, 2 In 2.80

VASP calculation (PBE) on BeAl2In after structural relaxation.

Summary:
- Symmetry: I-42d (122)

Unit cell a=4.3492 b=4.3492 c=8.8130 alpha=75.71 beta=75.71 gamma=90.00
Last column: nearest neighbours and their distance in Å.
Positions (direct):
Be  0.5000  0.5000  0.0000  4 Al 2.46
In  0.0000  0.0000  0.0000  4 Al 2.72
In  0.7500  0.2500  0.5000  4 Al 2.72
Al  0.1946  0.6250  0.2500  2 Be 2.46, 2 Al 2.68, 2 In 2.72
Al  0.3750  0.4446  0.7500  2 Be 2.46, 2 Al 2.68, 2 In 2.72
Al  0.5554  0.1250  0.2500  2 Be 2.46, 2 Al 2.68, 2 In 2.72
Al  0.8750  0.8054  0.7500  2 Be 2.46, 2 Al 2.68, 2 In 2.72
Be  0.2500  0.7500  0.5000  4 Al 2.46

VASP calculation (PBE) on Be2AlIn after structural relaxation.

Summary:
- Symmetry: Pmm2 (25)

Unit cell a=2.7756 b=2.9074 c=7.4720 alpha=90.00 beta=90.00 gamma=90.00
Last column: nearest neighbours and their distance in Å.
Positions (direct):
Be  0.0000  0.0000  0.0352  4 Be 2.30
Al  0.5000  0.5000  0.8160  5 Be 2.59-2.76, 2 Al 2.78
In  0.0000  0.0000  0.4641  4 In 2.78-2.91, 4 Be 2.90
Be  0.5000  0.5000  0.1847  4 Be 2.30

Asked for energy of formation from the pure elements across the records above, the calculation gives 0.445, 1.237, 0.247, 0.338, 0.400, 0.362, 0.457, 0.975, 0.296, 0.504, 0.362, 0.383 eV/atom in order.
Asked for uncorrected energy across the records above, the calculation gives -12.15, -11.47, -12.96, -12.58, -12.35, -12.50, -12.12, -12.78, -12.77, -11.92, -25.00, -12.40 eV for the cell shown in order.
Asked for mass density across the records above, the calculation gives 4.335, 2.966, 4.353, 4.188, 4.226, 4.282, 4.203, 3.177, 4.283, 4.447, 3.780, 4.401 g/cm3 in order.